Entry 1:
# GaNiSeBr2

A crystal of GaNiSeBr2 relaxed with PBEsol (SCAN, the Alexandria database).

Cell and atoms, written as extended XYZ:
```
5
Lattice="4.963 0.000 0.000 0.000 4.963 0.000 0.000 0.000 5.048" Properties=species:S:1:pos:R:3 pbc="T T T"
Ga 0.000 0.000 0.000
Ni 2.481 2.481 2.524
Se 0.000 0.000 2.524
Br 0.000 2.481 0.000
Br 2.481 0.000 0.000
```

Energy relative to the elements, uncorrected: 331.0 meV per atom
V: 24.87 A^3/atom
Crystal system: tetragonal
Space-group type: P4/mmm, No. 123
DOS(E_F): 3.76 states/eV/f.u.

Entry 2:
# ZnGaNi2Br

A crystal of ZnGaNi2Br relaxed with PBEsol (SCAN, the Alexandria database).

Cell and atoms, written as extended XYZ:
```
5
Lattice="4.275 0.000 0.000 0.000 4.275 0.000 0.000 0.000 5.549" Properties=species:S:1:pos:R:3 pbc="T T T"
Zn 0.000 0.000 0.000
Ga 2.137 2.137 0.000
Ni 0.000 2.137 2.775
Ni 2.137 0.000 2.775
Br 2.137 2.137 2.775
```

Energy relative to the elements, uncorrected: 932.9 meV per atom
V: 20.28 A^3/atom
Crystal system: tetragonal
Space-group type: P4/mmm, No. 123
DOS(E_F): 3.71 states/eV/f.u.

Entry 3:
# GaBr2O

A crystal of GaBr2O relaxed with PBEsol (SCAN, the Alexandria database).

Cell and atoms, written as extended XYZ:
```
12
Lattice="3.657 0.000 0.000 -1.829 3.167 0.000 0.000 0.000 23.567" Properties=species:S:1:pos:R:3 pbc="T T T"
Ga 0.000 0.000 0.000
Ga 0.000 2.111 15.711
Ga 1.829 1.056 7.856
Br 0.000 0.000 2.259
Br 0.000 0.000 21.308
Br 0.000 2.111 13.452
Br 0.000 2.111 17.970
Br 1.829 1.056 5.597
Br 1.829 1.056 10.114
O 0.000 0.000 11.783
O 0.000 2.111 3.928
O 1.829 1.056 19.639
```

Energy relative to the elements, uncorrected: 548.8 meV per atom
V: 22.75 A^3/atom
Crystal system: trigonal
Space-group type: R-3m, No. 166
DOS(E_F): 2.79 states/eV/f.u.

Entry 4:
# Ga3BrO

A crystal of Ga3BrO relaxed with PBEsol (SCAN, the Alexandria database).

Cell and atoms, written as extended XYZ:
```
5
Lattice="4.661 0.000 0.000 0.000 4.661 0.000 0.000 0.000 4.661" Properties=species:S:1:pos:R:3 pbc="T T T"
Ga 0.000 0.000 2.331
Ga 0.000 2.331 0.000
Ga 2.331 0.000 0.000
Br 2.331 2.331 2.331
O 0.000 0.000 0.000
```

Energy relative to the elements, uncorrected: -129.4 meV per atom
V: 20.25 A^3/atom
Crystal system: cubic
Space-group type: Pm-3m, No. 221
DOS(E_F): 0.97 states/eV/f.u.

Entry 5:
# GaPb2BrO

A crystal of GaPb2BrO relaxed with PBEsol (SCAN, the Alexandria database).

Cell and atoms, written as extended XYZ:
```
5
Lattice="5.703 0.000 0.000 0.000 5.703 0.000 0.000 0.000 3.965" Properties=species:S:1:pos:R:3 pbc="T T T"
Ga 0.000 0.000 0.000
Pb 0.000 2.852 1.982
Pb 2.852 0.000 1.982
Br 2.852 2.852 1.982
O 2.852 2.852 0.000
```

Energy relative to the elements, uncorrected: 375.1 meV per atom
V: 25.79 A^3/atom
Crystal system: tetragonal
Space-group type: P4/mmm, No. 123
DOS(E_F): 1.72 states/eV/f.u.

Entry 6:
# GaReBrO2

A crystal of GaReBrO2 relaxed with PBEsol (SCAN, the Alexandria database).

Cell and atoms, written as extended XYZ:
```
5
Lattice="3.726 0.000 0.000 0.000 3.726 0.000 0.000 0.000 5.623" Properties=species:S:1:pos:R:3 pbc="T T T"
Ga 0.000 0.000 0.000
Re 0.000 0.000 2.811
Br 1.863 1.863 2.811
O 0.000 1.863 0.000
O 1.863 0.000 0.000
```

Energy relative to the elements, uncorrected: 394.4 meV per atom
V: 15.62 A^3/atom
Crystal system: tetragonal
Space-group type: P4/mmm, No. 123
DOS(E_F): 3.60 states/eV/f.u.